1.
A relaxed structure of Pu3InBi4. Source: Alexandria via LeMat-Bulk, functional PBE.

```
8
Lattice="3.395 0.000 0.000 0.000 5.809 0.000 0.000 0.000 11.936" Properties=species:S:1:pos:R:3 pbc="T T T"
Pu 1.697 2.904 5.968
Pu 1.697 0.000 8.984
Pu 1.697 0.000 2.952
Bi 0.000 0.000 0.000
Bi 0.000 0.000 5.968
Bi 0.000 2.904 3.060
Bi 0.000 2.904 8.876
In 1.697 2.904 0.000
```

**Space-group type**: Pmmm (47)
**ΔE_f**: -0.253 eV per atom

2.
A relaxed structure of Tc2Pb3. Source: Alexandria via LeMat-Bulk, functional PBE.

```
5
Lattice="-4.447 -10.177 -3.105 -3.245 -11.066 -0.118 -6.271 -9.672 -0.353" Properties=species:S:1:pos:R:3 pbc="T T T"
Tc -8.454 -18.718 -2.165
Tc -5.509 -12.197 -1.411
Pb -2.939 -6.506 -0.753
Pb 0.000 0.000 0.000
Pb -11.025 -24.409 -2.823
```

**Space-group type**: R-3m (166)
**ΔE_f**: 0.664 eV per atom

3.
A relaxed structure of Nb2Cd2O7. Source: Alexandria via LeMat-Bulk, functional PBE.

```
22
Lattice="7.485 -0.005 0.014 -0.017 7.485 -0.014 -3.680 -3.793 5.300" Properties=species:S:1:pos:R:3 pbc="T T T"
Cd -0.026 0.026 5.190
Cd 5.677 -1.785 2.605
Cd 1.823 -1.820 2.547
Cd -0.073 3.656 5.234
O 1.492 3.308 1.346
O 1.511 0.367 1.353
O 0.009 5.583 0.780
O 6.129 3.248 1.375
O 3.774 1.801 2.027
O 2.330 0.343 4.003
O 0.032 -1.918 3.975
O 2.381 3.192 4.018
O 0.053 1.822 3.437
O 3.841 -1.936 4.684
O -2.213 0.335 3.996
O 6.135 0.368 1.422
O 3.750 5.611 1.317
O -2.225 3.195 4.050
Nb 5.590 1.887 2.592
Nb 3.758 -3.752 5.249
Nb 3.764 0.063 5.202
Nb 1.775 1.875 2.544
```

**Space-group type**: Ima2 (46)
**E_tot**: -7.18 eV/atom

4.
A relaxed structure of PrDy7Al5. Source: Alexandria via LeMat-Bulk, functional PBE.

```
13
Lattice="-0.702 -6.075 -0.483 6.597 -4.035 2.222 -2.494 -3.355 6.875" Properties=species:S:1:pos:R:3 pbc="T T T"
Pr 4.056 -7.378 9.002
Dy 0.921 -6.519 2.752
Dy 0.758 -3.341 1.968
Dy -0.084 -9.670 4.896
Dy -1.105 -6.516 5.659
Dy 2.861 -9.891 3.389
Dy 2.478 -6.945 5.856
Dy 4.440 -6.931 2.821
Al 4.941 -8.751 5.496
Al 2.606 -10.114 6.570
Al 0.200 -11.458 7.501
Al 4.590 -11.786 5.255
Al 0.551 -8.422 7.743
```

**Space-group type**: Imm2 (44)
**ΔE_f**: -0.230 eV per atom

Number 1: density of states at the Fermi level 31.3 states/eV per cell. Number 2: density of states at the Fermi level 4.8 states/eV per cell. Number 3: density of states at the Fermi level 0.0 states/eV per cell. Number 4: density of states at the Fermi level 12.3 states/eV per cell.